No. 1
VASP calculation (PBE) on a relaxed Pu2PaIrN4 crystal.

Cell and atoms, written as CIF:
```
data_Pu2PaIrN4
_chemical_formula_sum 'Pu8 Pa4 Ir4 N16'
_cell_length_a 3.389
_cell_length_b 11.489
_cell_length_c 11.676
_cell_angle_alpha 90.00
_cell_angle_beta 90.00
_cell_angle_gamma 90.00
_symmetry_space_group_name_H-M 'C m c m'
_symmetry_Int_Tables_number 63
_symmetry_space_group_name_Hall '-C 2c 2'
loop_
_atom_site_label
_atom_site_fract_x
_atom_site_fract_y
_atom_site_fract_z
Pu1 0.000 0.129 0.054
Pa1 0.000 0.388 0.250
Ir1 0.000 0.350 0.750
N1 0.000 0.032 0.250
N2 0.000 0.213 0.627
N3 0.000 0.500 0.000
```

Calculated values
* M_tot: 33.56 Bohr magnetons per cell
* E_form (uncorrected): -0.91 eV per atom
* theoretical density: 14.1 g cm⁻³

---

No. 2
VASP calculation (PBE) on a relaxed Cu2PAu crystal.

Cell and atoms, written as CIF:
```
data_Cu2PAu
_chemical_formula_sum 'Cu8 P4 Au4'
_cell_length_a 6.906
_cell_length_b 6.906
_cell_length_c 5.129
_cell_angle_alpha 90.00
_cell_angle_beta 90.00
_cell_angle_gamma 90.00
_symmetry_space_group_name_H-M 'I -4 2 d'
_symmetry_Int_Tables_number 122
_symmetry_space_group_name_Hall 'I -4 2bw'
loop_
_atom_site_label
_atom_site_fract_x
_atom_site_fract_y
_atom_site_fract_z
Cu1 0.206 0.250 0.125
P1 0.000 0.000 0.000
Au1 0.000 0.000 0.500
```

Calculated values
* M_tot: 0.00 Bohr magnetons per cell
* formation enthalpy at 0 K: 184.2 meV/atom
* theoretical density: 9.6 g cm⁻³

---

Q: Among the records above, which one has the highest theoretical density?
A: Pu2PaIrN4